1.
The following is a PBE-GGA calculation of a geometry-optimized BaLi2Cl structure, from Alexandria via LeMat-Bulk.

Results
For the total magnetization, the calculation gives 0.00 μB/atom. The volume comes out at 114.9 Å³ per cell. Its energy above the most stable polymorph in this dataset is 188 meV/atom.

extended XYZ file:
```
4
Lattice="3.539 0.000 0.000 0.000 3.539 0.000 0.000 0.000 9.171" Properties=species:S:1:pos:R:3 pbc="T T T"
Li 0.000 0.000 5.400
Li 0.000 0.000 8.356
Ba 1.770 1.770 2.293
Cl 1.770 1.770 6.878
```

=====

2.
The following is a PBE-GGA calculation of a geometry-optimized Ba3LiCl structure, from Alexandria via LeMat-Bulk.

Results
For the total magnetization, the calculation gives 0.09 μB/atom. The volume comes out at 243.4 Å³ per cell. Its energy above the most stable polymorph in this dataset is 0 meV/atom.

extended XYZ file:
```
5
Lattice="-2.676 3.796 -4.173 3.822 -2.178 -4.431 -4.150 -4.453 -1.390" Properties=species:S:1:pos:R:3 pbc="T T T"
Li -1.502 -1.418 -4.997
Cl 0.000 0.000 0.000
Ba -1.338 1.898 -2.087
Ba 1.911 -1.089 -2.215
Ba -2.075 -2.227 -0.695
```

=====

3.
The following is a PBE-GGA calculation of a geometry-optimized BaLi3Cl structure, from Alexandria via LeMat-Bulk.

Results
For the total magnetization, the calculation gives 0.40 μB/atom. The volume comes out at 317.2 Å³ per cell. Its energy above the most stable polymorph in this dataset is 954 meV/atom.

extended XYZ file:
```
5
Lattice="6.820 0.000 0.000 0.000 6.820 0.000 0.000 0.000 6.820" Properties=species:S:1:pos:R:3 pbc="T T T"
Ba 0.000 0.000 0.000
Li 3.410 0.000 0.000
Li 0.000 0.000 3.410
Li 0.000 3.410 0.000
Cl 3.410 3.410 3.410
```